Compound: Sr2TmAlS5
Source: Alexandria via LeMat-Bulk
Functional: PBE
Structure: relaxed

Lattice parameters (Å, degrees): 3.933 9.043 12.451 90.00 90.00 102.56
Sites, in units of the cell vectors:
Sr  0.873  0.747  0.825
Sr  0.116  0.232  0.681
Sr  0.127  0.253  0.325
Sr  0.884  0.768  0.181
Tm  0.792  0.585  0.528
Tm  0.208  0.415  0.028
Al  0.558  0.116  0.930
Al  0.442  0.884  0.430
S  0.354  0.709  0.006
S  0.683  0.365  0.876
S  0.499  0.997  0.774
S  0.293  0.587  0.672
S  0.955  0.909  0.530
S  0.646  0.291  0.506
S  0.317  0.635  0.376
S  0.501  0.003  0.274
S  0.707  0.413  0.172
S  0.045  0.091  0.030

- Total moment: 0.000 μB per atom
- Symmetry: Cmc2_1, No. 36
- E_tot: -0.20003 Ha/atom
- E_form (uncorrected): -1.864 eV per atom